The following is a DFT calculation (PBE-GGA) of an optimized crystal structure of Ba2As4PdPt3.

Computed properties:
* symmetry: No. 115
* formation energy from the elements: -0.78 eV/atom
* energy: -5.36 eV per atom
* crystal system: tetragonal

Lattice parameters (Å, degrees): 4.6141 4.6141 10.1154 90.00 90.00 90.00
Last column: nearest neighbours and their distance in Å.
Positions (direct):
Ba1 0.0000 0.5000 0.7515  8 As 3.41-3.50, 7 Pt 3.43-3.64, 2 Pd 3.43
Ba2 0.5000 0.0000 0.2485  8 As 3.41-3.50, 2 Pd 3.43, 7 Pt 3.43-3.64
As1 0.0000 0.0000 0.0000  4 Pt 2.57
As2 0.5000 0.0000 0.6268  3 Pt 2.64-2.65, 2 Pd 2.64
As3 0.5000 0.5000 0.0000  4 Pt 2.57
As4 0.0000 0.5000 0.3732  3 Pt 2.64-2.65, 2 Pd 2.64
Pd1 0.5000 0.5000 0.5000  4 As 2.64
Pt1 0.5000 0.0000 0.8886  5 As 2.57-2.65
Pt2 0.0000 0.5000 0.1114  5 As 2.57-2.65
Pt3 0.0000 0.0000 0.5000  4 As 2.64